Entry 1:
This record from Alexandria via LeMat-Bulk describes Tl4ReP after structural relaxation. The functional is PBE.

## Properties
space-group type = No. 216
ρ = 10380 kg/m3
crystal system = cubic

a = 6.1630 Å, b = 6.1630 Å, c = 6.1630 Å
α = 60.00°, β = 60.00°, γ = 60.00°
Last column: nearest neighbours and their distance in Å.
Element x y z (fractional)
Tl: 0.1249 0.1249 0.1249  6 Tl 3.08
Tl: 0.1249 0.1249 0.6253  6 Tl 3.08
Tl: 0.1249 0.6253 0.1249  6 Tl 3.08
Tl: 0.6253 0.1249 0.1249  6 Tl 3.08
Re: 0.5000 0.5000 0.5000  12 Tl 3.61, 4 P 3.77
P: 0.7500 0.7500 0.7500  12 Tl 3.61, 4 Re 3.77


Entry 2:
This record from Alexandria via LeMat-Bulk describes Tl2ReP after structural relaxation. The functional is PBE.

## Properties
energy above the lowest structure with this stoichiometry = 1.115 eV/atom
space-group type = No. 225
ρ = 12749 kg/m3
crystal system = cubic

a = 4.8672 Å, b = 4.8672 Å, c = 4.8672 Å
α = 60.00°, β = 60.00°, γ = 60.00°
Last column: nearest neighbours and their distance in Å.
Element x y z (fractional)
Tl: 0.2500 0.2500 0.2500  4 P 2.98, 4 Re 2.98
Tl: 0.7500 0.7500 0.7500  4 Re 2.98, 4 P 2.98
Re: 0.0000 0.0000 0.0000  8 Tl 2.98
P: 0.5000 0.5000 0.5000  8 Tl 2.98


Entry 3:
This record from Alexandria via LeMat-Bulk describes Tl2ReP after structural relaxation. The functional is PBE.

## Properties
energy above the lowest structure with this stoichiometry = 0.420 eV/atom
space-group type = No. 38
ρ = 9923 kg/m3
crystal system = orthorhombic

a = 4.4914 Å, b = 7.8465 Å, c = 7.8465 Å
α = 22.26°, β = 90.00°, γ = 90.00°
Last column: nearest neighbours and their distance in Å.
Element x y z (fractional)
Tl: 0.0000 0.0000 0.0000  2 Re 2.99, 2 Tl 3.03
Tl: 0.5000 0.3384 0.3384  2 Tl 3.03, 2 P 3.07
Re: 0.0000 0.6673 0.6673  2 P 2.25
P: 0.5000 0.6647 0.6647  2 Re 2.25


Entry 4:
This record from Alexandria via LeMat-Bulk describes TlRe2P after structural relaxation. The functional is PBE.

## Properties
energy above the lowest structure with this stoichiometry = 0.305 eV/atom
space-group type = No. 10
ρ = 15152 kg/m3
crystal system = monoclinic

a = 3.0209 Å, b = 3.7238 Å, c = 6.0594 Å
α = 90.00°, β = 102.28°, γ = 90.00°
Last column: nearest neighbours and their distance in Å.
Element x y z (fractional)
Tl: 0.0000 0.0000 0.0000  8 Re 2.95-3.04, 2 Tl 3.02, 2 P 3.03
Re: 0.3420 0.5000 0.6983  2 P 2.33
Re: 0.6580 0.5000 0.3017  2 P 2.33
P: 0.0000 0.0000 0.5000  4 Re 2.33


Calculated total moment (Bohr magnetons per cell), listed in the same order as above: 4.0; 0.0; 0.0; 0.0
Calculated ΔH_f (0 K) (eV/atom), listed in the same order as above: 1.35; 1.30; 0.60; 0.63
Calculated electronic total energy (eV/atom), listed in the same order as above: -3.202; -4.350; -5.044; -7.538